Below is an optimized crystal structure of BeCrNi2, with properties calculated at the GGA-PBE level.

Computed properties:
Energy of formation   -0.09 eV per formula unit
Calculated total energy   -6.25 eV/atom

Geometry as extended XYZ:
```
4
Lattice="-1.953 0.617 -4.049 -4.299 -1.397 -0.394 2.880 2.769 2.151" Properties=species:S:1:pos:R:3 pbc="T T T"
Be -1.100 1.499 -2.060
Ni -3.252 -0.405 -2.311
Ni -6.127 -0.764 -4.354
Cr -2.273 0.492 -0.232
```